Record 1
A geometry-optimized SmHo3ErTh structure, computed with PBE.

a = 7.928 Å, b = 5.039 Å, c = 10.057 Å
α = 90.00°, β = 108.73°, γ = 90.00°
Fractional coordinates of all 12 atoms:
Sm: 0.168 0.250 0.292
Sm: 0.832 0.750 0.708
Ho: 0.169 0.750 0.543
Ho: 0.174 0.750 0.043
Ho: 0.175 0.250 0.792
Ho: 0.825 0.750 0.208
Ho: 0.826 0.250 0.957
Ho: 0.831 0.250 0.457
Er: 0.500 0.250 0.627
Er: 0.500 0.750 0.373
Th: 0.499 0.750 0.878
Th: 0.501 0.250 0.122

Values from the calculation:
**SG**: P2_1/m, No. 11

=====

Record 2
A geometry-optimized SmHo2ErTl2 structure, computed with PBE.

a = 5.102 Å, b = 9.965 Å, c = 6.834 Å
α = 90.00°, β = 90.00°, γ = 90.00°
Fractional coordinates of all 12 atoms:
Sm: 0.000 0.043 0.000
Sm: 0.000 0.957 0.500
Ho: 0.000 0.317 0.378
Ho: 0.000 0.683 0.878
Ho: 0.500 0.455 0.093
Ho: 0.500 0.545 0.593
Er: 0.500 0.191 0.718
Er: 0.500 0.809 0.218
Tl: 0.000 0.367 0.838
Tl: 0.000 0.633 0.338
Tl: 0.500 0.135 0.261
Tl: 0.500 0.865 0.761

Values from the calculation:
**SG**: Pmc2_1, No. 26

=====

Record 3
A geometry-optimized Sm6Ho2Er3Tl structure, computed with PBE.

a = 6.154 Å, b = 6.154 Å, c = 11.710 Å
α = 95.06°, β = 95.06°, γ = 120.10°
Fractional coordinates of all 12 atoms:
Sm: 0.083 0.412 0.749
Sm: 0.246 0.246 0.250
Sm: 0.412 0.083 0.749
Sm: 0.588 0.917 0.251
Sm: 0.754 0.754 0.750
Sm: 0.917 0.588 0.251
Ho: 0.334 0.666 0.500
Ho: 0.666 0.334 0.500
Er: 0.167 0.833 0.000
Er: 0.500 0.500 0.000
Er: 0.833 0.167 0.000
Tl: 0.000 0.000 0.500

Values from the calculation:
**SG**: C2/m, No. 12

=====

Record 4
A geometry-optimized Sm6Ho3Er2Tl structure, computed with PBE.

a = 6.162 Å, b = 6.162 Å, c = 11.706 Å
α = 95.08°, β = 95.08°, γ = 120.12°
Fractional coordinates of all 12 atoms:
Sm: 0.082 0.411 0.748
Sm: 0.246 0.246 0.250
Sm: 0.411 0.082 0.748
Sm: 0.589 0.918 0.252
Sm: 0.754 0.754 0.750
Sm: 0.918 0.589 0.252
Ho: 0.167 0.833 0.000
Ho: 0.500 0.500 0.000
Ho: 0.833 0.167 0.000
Er: 0.334 0.666 0.500
Er: 0.666 0.334 0.500
Tl: 0.000 0.000 0.500

Values from the calculation:
**SG**: C2/m, No. 12

=====

Computed values of calculated density (unit: Mg/m³) for the preceding records, in sequence: 9.1, 10.1, 8.5, 8.5.
Computed values of energy (unit: eV for the cell shown) for the preceding records, in sequence: -60.55, -49.53, -53.66, -53.65.
Computed values of DFT formation energy (unit: meV/atom) for the preceding records, in sequence: 27, -266, -11, -9.